1.
# Al8Cu2Os PBE optimized geometry
# **Energy of formation from the pure elements**: -0.160 eV per atom
# **Electronic total energy**: -4.647 eV per atom
# **D(E_F)**: 4.1 states/eV/f.u.
data_Al8Cu2Os
_cell_length_a 8.6886
_cell_length_b 8.6886
_cell_length_c 4.8799
_cell_angle_alpha 105.26
_cell_angle_beta 105.26
_cell_angle_gamma 29.51
_space_group_name_H-M_alt 'P 1'
_space_group_IT_number 1
_space_group_name_Hall 'P 1'
loop_
_atom_site_label
_atom_site_fract_x
_atom_site_fract_y
_atom_site_fract_z
Al1 0.0342 0.0342 0.2951
Al2 0.2464 0.2464 0.8248
Al3 0.3460 0.3460 0.4280
Al4 0.4185 0.4185 0.9806
Al5 0.5815 0.5815 0.0194
Al6 0.6540 0.6540 0.5720
Al7 0.7536 0.7536 0.1752
Al8 0.9658 0.9658 0.7049
Cu1 0.1838 0.1838 0.2618
Cu2 0.8162 0.8162 0.7382
Os1 0.5000 0.5000 0.5000

2.
# AlCu2Os PBE optimized geometry
# **Energy of formation from the pure elements**: -0.019 eV per atom
# **Electronic total energy**: -5.810 eV per atom
# **D(E_F)**: 2.3 states/eV/f.u.
data_AlCu2Os
_cell_length_a 3.0383
_cell_length_b 3.0383
_cell_length_c 5.6310
_cell_angle_alpha 90.00
_cell_angle_beta 90.00
_cell_angle_gamma 90.00
_space_group_name_H-M_alt 'P 1'
_space_group_IT_number 1
_space_group_name_Hall 'P 1'
loop_
_atom_site_label
_atom_site_fract_x
_atom_site_fract_y
_atom_site_fract_z
Al1 0.0000 0.0000 0.0000
Cu1 0.0000 0.0000 0.4845
Cu2 0.5000 0.5000 0.2575
Os1 0.5000 0.5000 0.7526

3.
# AlCu2Os PBE optimized geometry
# **Energy of formation from the pure elements**: 0.090 eV per atom
# **Electronic total energy**: -5.701 eV per atom
# **D(E_F)**: 4.1 states/eV/f.u.
data_AlCu2Os
_cell_length_a 4.7498
_cell_length_b 4.7498
_cell_length_c 4.7498
_cell_angle_alpha 135.04
_cell_angle_beta 135.04
_cell_angle_gamma 65.47
_space_group_name_H-M_alt 'P 1'
_space_group_IT_number 1
_space_group_name_Hall 'P 1'
loop_
_atom_site_label
_atom_site_fract_x
_atom_site_fract_y
_atom_site_fract_z
Al1 0.0000 0.0000 0.0000
Cu1 0.2500 0.7500 0.5000
Cu2 0.7500 0.2500 0.5000
Os1 0.5000 0.5000 0.0000